# BeMoCl2

An optimized crystal structure of BeMoCl2 (GGA-PBE, the Alexandria database).

a = 3.0826 Å, b = 3.0826 Å, c = 7.7658 Å
α = 90.00°, β = 90.00°, γ = 90.00°
Fractional coordinates of all 4 atoms:
Be  0.5000  0.5000  0.7072
Mo  0.0000  0.0000  0.5631
Cl  0.0000  0.0000  0.8770
Cl  0.5000  0.5000  0.3527

Calculated values
**ΔE_f (raw)**: -0.055 eV/atom
**Total magnetic moment**: 0.000 μB per atom
**DOS(E_F)**: 0.362 states/eV per atom
**Energy above the most stable polymorph in this dataset**: 250 meV/atom

---

# La3Ho4Er2

An optimized crystal structure of La3Ho4Er2 (GGA-PBE, the Alexandria database).

a = 6.1642 Å, b = 11.2478 Å, c = 11.2478 Å
α = 63.35°, β = 63.10°, γ = 63.10°
Fractional coordinates of all 18 atoms:
La  0.7481  0.0350  0.2991
La  0.7519  0.7009  0.9650
La  0.2519  0.9650  0.7009
La  0.2481  0.2991  0.0350
La  0.2500  0.6342  0.3658
La  0.7500  0.3658  0.6342
Ho  0.4222  0.9328  0.1800
Ho  0.0778  0.8200  0.0672
Ho  0.5778  0.0672  0.8200
Ho  0.9222  0.1800  0.9328
Ho  0.0755  0.1540  0.4012
Ho  0.4245  0.5988  0.8460
Ho  0.9245  0.8460  0.5988
Ho  0.5755  0.4012  0.1540
Er  0.4214  0.2681  0.5121
Er  0.0786  0.4879  0.7319
Er  0.5786  0.7319  0.4879
Er  0.9214  0.5121  0.2681

Calculated values
**Total magnetic moment**: 0.000 μB per atom
**DOS(E_F)**: 1.505 states/eV per atom
**ΔH_f (0 K)**: 0.11 eV per atom

---

# CsCr

An optimized crystal structure of CsCr (GGA-PBE, the Alexandria database).

a = 3.7752 Å, b = 3.7752 Å, c = 12.8928 Å
α = 90.00°, β = 90.00°, γ = 120.00°
Each line ends with the local moment (μB).
Fractional coordinates of all 4 atoms:
Cs  0.3333  0.6667  0.8272  0.02
Cs  0.6667  0.3333  0.3272  0.02
Cr  0.3333  0.6667  0.0908  4.13
Cr  0.6667  0.3333  0.5908  4.13

Calculated values
**Total magnetic moment**: 2.428 μB per atom
**DOS(E_F)**: 0.631 states/eV per atom
**ΔH_f (0 K)**: 1.51 eV per atom
**Energy above the most stable polymorph in this dataset**: 544 meV/atom

---

Question: Which formula does entry 3 have?
Answer: CsCr